No. 1
This record from the Alexandria database describes an optimized crystal structure of LaCe2N3. The functional is PBE-GGA.

Cell: 6.714 6.016 6.016 Å, 60.00 90.00 90.00°
Fractional positions:
La 0.250 0.500 0.500
La 0.750 0.500 0.500
N 0.750 0.940 0.060
N 0.750 0.500 0.940
Ce 0.500 0.833 0.833
Ce 0.000 0.167 0.167
N 0.250 0.500 0.060
Ce 0.000 0.833 0.833
N 0.750 0.060 0.500
N 0.250 0.060 0.940
Ce 0.500 0.167 0.167
N 0.250 0.940 0.500

Relative energy among the computed polymorphs (kJ per mole of atoms): 23.3
Space group: No. 193
E_form (uncorrected) (eV/atom): -1.20

No. 2
This record from the Alexandria database describes an optimized crystal structure of NaAl5Ag2. The functional is PBE-GGA.

Cell: 4.055 6.615 6.615 Å, 71.55 72.15 72.15°
Fractional positions:
Al 0.357 0.458 0.828
Na 0.000 0.000 0.000
Al 0.643 0.172 0.542
Al 0.643 0.542 0.172
Ag 0.261 0.239 0.239
Ag 0.739 0.761 0.761
Al 0.357 0.828 0.458
Al 0.000 0.500 0.500

Calculated formation energy (kcal/mol of atoms): -0.31
Relative energy among the computed polymorphs (kJ per mole of atoms): 0.0
Space group: No. 71

no.,DOS(E_F) (states/eV/cell)
1,6.883
2,1.588